Here is crystalline AlMo3F at its relaxed geometry from the Alexandria database. Energies are from PBE+U.

Lattice parameters (Å, degrees): 4.2528 4.2528 4.2528 90.00 90.00 90.00
Each line ends with the local moment (μB).
Element x y z (fractional)
1 Mo 0.0000 0.5000 0.0000  0.20
2 Mo 0.0000 0.0000 0.5000  0.09
3 Mo 0.5000 0.0000 0.0000  0.25
4 Al 0.5000 0.5000 0.5000  -0.02
5 F 0.0000 0.0000 0.0000  0.01

Output
- final energy (eV per atom) = -4.2755
- space group = No. 221